This record from Alexandria via LeMat-Bulk describes an optimized crystal structure of NaGaSbH2. The functional is PBE-GGA.

Unit cell a=6.104 b=6.104 c=5.993 alpha=90.00 beta=90.00 gamma=129.34
Sites, in units of the cell vectors:
Na (0.231, 0.769, 0.750)
Na (0.769, 0.231, 0.250)
Ga (0.500, 0.500, 0.000)
Ga (0.500, 0.500, 0.500)
Sb (0.055, 0.945, 0.250)
Sb (0.945, 0.055, 0.750)
H (0.358, 0.642, 0.056)
H (0.358, 0.642, 0.444)
H (0.642, 0.358, 0.556)
H (0.642, 0.358, 0.944)

Values from the calculation:
space-group type	No. 63
DOS(E_F)	0.13	states/eV per atom
VASP energy	-29.72	eV for the cell shown